Material: La3Zn3Ga2
Method: DFT, PBE
State: optimized geometry

## Properties
DFT total energy ... -56.94 eV for the cell shown
Calculated volume ... 23.99 A^3/atom

Structure (CIF):
```
data_La3Zn3Ga2
_space_group_name_H-M_alt 'P 1'
_space_group_IT_number 1
_cell_length_a 4.612
_cell_length_b 5.925
_cell_length_c 15.247
_cell_angle_alpha 90.00
_cell_angle_beta 90.00
_cell_angle_gamma 112.91
loop_
_space_group_symop_operation_xyz
'x,y,z'
loop_
_atom_site_label
_atom_site_fract_x
_atom_site_fract_y
_atom_site_fract_z
Zn1 0.615 0.229 0.465
La1 0.103 0.205 0.896
Zn2 0.320 0.639 0.250
Zn3 0.615 0.229 0.035
La2 0.897 0.795 0.396
Zn4 0.385 0.771 0.535
La3 0.611 0.223 0.250
La4 0.897 0.795 0.104
Zn5 0.680 0.361 0.750
Ga1 0.803 0.605 0.899
La5 0.103 0.205 0.604
Ga2 0.197 0.395 0.101
La6 0.389 0.777 0.750
Ga3 0.803 0.605 0.601
Zn6 0.385 0.771 0.965
Ga4 0.197 0.395 0.399
```